8
Lattice="-0.2920 0.1981 -4.3188 -2.5560 -3.3140 0.0208 -8.5032 9.2072 0.9971" Properties=species:S:1:pos:R:3 comment="La2PAu PBE-GGA optimized geometry" magmom_total_mub_per_fu=0.0 final_energy_ev_per_cell=-46.6 pbc="T T T"
La -9.8606 4.9476 -2.3672
La -5.2402 1.3810 -2.8432
La -1.4905 1.1437 -0.9337
La -6.1109 4.7103 -0.4578
P -7.5759 3.1840 -2.6026
P -3.7752 2.9073 -0.6984
Au -2.3214 -0.8721 -3.1438
Au -9.0297 6.9633 -0.1571

***

8
Lattice="-1.2157 -0.6692 7.1991 4.2463 -5.9746 0.1617 4.1175 -1.4559 4.2932" Properties=species:S:1:pos:R:3 comment="LaP2Au PBE-GGA optimized geometry" magmom_total_mub_per_fu=0.0 final_energy_ev_per_cell=-43.0 pbc="T T T"
La 1.5153 -3.3219 3.6804
La 4.9395 -5.3762 4.0676
P 5.9914 -7.2591 9.6702
P 3.9731 -3.2295 5.9707
P 3.6033 -4.1421 1.6479
P 0.7284 -1.5687 6.0193
Au 0.0000 0.0000 0.0000
Au 2.2086 -2.7235 7.5864

***

4
Lattice="-1.8092 4.8681 3.0419 -4.6172 3.8584 0.1394 -2.1280 -2.6571 2.9829" Properties=species:S:1:pos:R:3 comment="La2PAu PBE-GGA optimized geometry" magmom_total_mub_per_fu=0.0 final_energy_ev_per_cell=-22.7 pbc="T T T"
La -6.0698 4.7742 4.2112
La -0.3043 -0.2785 0.3913
P -4.3568 2.4518 3.3619
Au -2.1006 2.1568 1.2819